# 1
GGA-PBE PmZnSb2, relaxed; total magnetization = 0.000 μB/atom; density of states at the Fermi level = 2.63 states/eV/cell; uncorrected formation energy = -556.9 meV/atom; crystal system = tetragonal; SG = P4/nmm
1.0
-0.397 1.618 4.165
-3.956 -2.072 0.427
4.690 -8.205 3.635
Pm Zn Sb
2 2 4
direct
0.000 0.500 0.265
0.500 0.000 0.735
0.500 0.500 0.000
0.000 0.000 0.000
0.500 0.000 0.167
0.000 0.500 0.833
0.000 0.000 0.500
0.500 0.500 0.500


# 2
GGA-PBE ScRePOs2, relaxed; total magnetization = 0.000 μB/atom; density of states at the Fermi level = 4.07 states/eV/cell; energy of formation = 0.27 eV/atom; crystal system = tetragonal; SG = P4/mmm
1.0
-3.338 2.816 -0.093
-1.897 -2.137 3.371
2.103 2.586 2.823
Sc Re Os P
1 1 2 1
direct
0.500 0.500 0.500
0.000 0.500 0.000
0.000 0.000 0.500
0.500 0.000 0.000
0.000 0.000 0.000


- Number 2 is which compound?
  ScRePOs2


- Which of these has the lowest density of states at the Fermi level?
  PmZnSb2